[1]
Here is a relaxed structure of ZrNpAl from OQMD via LeMat-Bulk. Energies are from GGA-PBE.

Geometry as extended XYZ:
```
3
Lattice="0.000 3.347 3.347 3.347 0.000 3.347 3.347 3.347 0.000" Properties=species:S:1:pos:R:3 pbc="T T T"
Zr 0.000 0.000 0.000
Np 3.347 3.347 3.347
Al 5.020 5.020 5.020
```

Values from the calculation:
* uncorrected energy: -7.8220 eV per atom
* magnetic moment: 5.2 μB per formula unit

=====

[2]
Here is a relaxed structure of AlOsO4 from OQMD via LeMat-Bulk. Energies are from GGA-PBE.

Geometry as extended XYZ:
```
18
Lattice="4.826 0.000 0.000 -2.413 4.179 0.000 0.000 0.000 11.514" Properties=species:S:1:pos:R:3 pbc="T T T"
Al -0.987 1.710 1.919
Al 1.974 0.000 9.595
Al 1.426 2.470 5.757
Os -1.069 1.852 7.676
Os 2.138 0.000 3.838
Os 1.344 2.328 0.000
O -1.570 2.892 9.133
O -1.380 2.824 3.250
O 0.694 1.374 1.457
O 0.658 1.572 7.088
O 0.843 1.288 10.057
O 1.033 1.356 4.426
O 0.723 3.963 10.926
O 0.876 4.093 5.295
O 3.136 0.217 8.264
O 3.290 0.086 2.381
O 3.071 2.607 0.588
O 3.107 2.806 6.219
```

Values from the calculation:
* energy above the most stable polymorph in this dataset: 432 meV per atom
* magnetic moment: 1.0 μB per formula unit